[1]
5
Lattice="4.3764 0.0000 0.0000 0.0000 4.3764 0.0000 0.0000 0.0000 4.5843" Properties=species:S:1:pos:R:3 comment="NiAs2IrSe, relaxed, DFT PBEsol" raw_formation_energy_ev_per_fu=3.91 total_magnetization_mub_per_atom=0.000 pbc="T T T"
Ni 0.0000 0.0000 0.0000
As 0.0000 2.1882 0.0000
As 2.1882 0.0000 0.0000
Ir 2.1882 2.1882 2.2922
Se 0.0000 0.0000 2.2922

[2]
5
Lattice="4.2638 0.0000 0.0000 0.0000 4.5980 0.0000 0.0000 0.0000 4.5980" Properties=species:S:1:pos:R:3 comment="TlNiAsIr2, relaxed, DFT PBEsol" total_magnetization_mub_per_atom=0.001 formation_energy_mev_per_atom=813 pbc="T T T"
Ni 2.1319 0.0000 0.0000
Tl 2.1319 2.2990 2.2990
Ir 0.0000 0.0000 2.2990
Ir 0.0000 2.2990 0.0000
As 0.0000 0.0000 0.0000

[3]
5
Lattice="-0.1186 -0.5257 3.4280 -0.8147 -3.3298 -0.5388 6.2601 -1.5287 -0.0179" Properties=species:S:1:pos:R:3 comment="AsPIrO2, relaxed, DFT PBEsol" raw_formation_energy_ev_per_fu=1.10 total_magnetization_mub_per_atom=0.000 pbc="T T T"
P 3.1300 -0.7644 -0.0089
As 0.0000 0.0000 0.0000
Ir 2.6634 -2.6921 1.4357
O -0.4073 -1.6649 -0.2694
O -0.0593 -0.2628 1.7140

[4]
5
Lattice="-2.6804 2.4251 -0.8477 -2.3584 -1.8373 2.2014 1.4914 3.1161 4.1985" Properties=species:S:1:pos:R:3 comment="AsIrWO2, relaxed, DFT PBEsol" raw_formation_energy_ev_per_fu=-3.85 total_magnetization_mub_per_atom=0.000 pbc="T T T"
As -1.7737 1.8519 2.7761
Ir 0.7457 1.5580 2.0992
O -1.1792 -0.9186 1.1007
O -1.3402 1.2125 -0.4238
W 0.0000 0.0000 0.0000

[5]
3
Lattice="-0.7242 -1.9577 1.9428 2.4776 -0.2231 -1.3939 2.7538 3.3126 4.3646" Properties=species:S:1:pos:R:3 comment="AsIrOs, relaxed, DFT PBEsol" total_magnetization_mub_per_atom=0.000 formation_energy_mev_per_atom=284 pbc="T T T"
As 0.0163 0.0196 0.0258
Ir 2.1970 0.8507 3.7690
Os 2.2939 0.2616 1.1188

[6]
4
Lattice="3.2775 0.0000 0.0000 -1.6387 4.1887 0.0044 0.0000 -1.2044 4.4695" Properties=species:S:1:pos:R:3 comment="As2IrOs, relaxed, DFT PBEsol" relative_energy_mev_per_atom=128 total_magnetization_mub_per_atom=0.000 formation_energy_mev_per_atom=233 pbc="T T T"
As 0.0000 -0.0164 0.2466
As 0.0000 1.2214 2.9034
Ir 1.6387 -0.5750 2.6428
Os 1.6387 1.7521 0.9159

[7]
4
Lattice="2.8910 0.0000 0.0000 0.0000 2.8910 0.0000 0.0000 0.0000 7.8907" Properties=species:S:1:pos:R:3 comment="As2IrOs, relaxed, DFT PBEsol" relative_energy_mev_per_atom=0 total_magnetization_mub_per_atom=0.000 formation_energy_mev_per_atom=105 pbc="T T T"
As 0.0000 0.0000 7.4256
As 1.4455 1.4455 2.4124
Ir 0.0000 0.0000 3.9649
Os 1.4455 1.4455 5.9238

[8]
4
Lattice="4.4328 0.0000 0.0000 2.2164 3.8389 0.0000 2.2164 1.2796 3.6194" Properties=species:S:1:pos:R:3 comment="As2IrOs, relaxed, DFT PBEsol" relative_energy_mev_per_atom=615 total_magnetization_mub_per_atom=0.000 formation_energy_mev_per_atom=720 pbc="T T T"
As 0.0000 0.0000 0.0000
As 6.6492 3.8389 2.7145
Ir 4.4328 2.5593 1.8097
Os 2.2164 1.2796 0.9048

[9]
4
Lattice="-2.0857 -2.2322 -0.6775 1.9325 -1.1443 -2.1790 2.5016 -3.5816 4.0995" Properties=species:S:1:pos:R:3 comment="As2IrOs, relaxed, DFT PBEsol" relative_energy_mev_per_atom=233 total_magnetization_mub_per_atom=0.000 formation_energy_mev_per_atom=338 pbc="T T T"
As 1.8759 -2.6858 3.0741
As 0.6257 -0.8958 1.0254
Ir -0.0766 -1.6883 -1.4283
Os 1.1742 -3.4791 0.6215

[10]
4
Lattice="2.8757 0.0000 0.0000 1.4378 2.4904 0.0000 1.4378 0.8301 9.5412" Properties=species:S:1:pos:R:3 comment="As2IrOs, relaxed, DFT PBEsol" relative_energy_mev_per_atom=87 total_magnetization_mub_per_atom=0.000 formation_energy_mev_per_atom=192 pbc="T T T"
As 4.3135 2.4904 0.5834
As 4.3135 2.4904 6.6139
Ir 2.8757 1.6603 4.6776
Os 1.4378 0.8301 2.4370

[11]
4
Lattice="2.8725 -0.0017 0.0000 -0.0293 4.9539 0.0000 -1.4216 -2.4761 4.2889" Properties=species:S:1:pos:R:3 comment="As2IrOs, relaxed, DFT PBEsol" relative_energy_mev_per_atom=471 total_magnetization_mub_per_atom=0.000 formation_energy_mev_per_atom=576 pbc="T T T"
As -0.7108 -1.2380 2.1444
As 0.7108 1.2380 2.1444
Ir 0.0000 0.0000 0.0000
Os 1.4216 2.4761 0.0000

[12]
4
Lattice="2.9279 0.0000 0.0000 1.4639 2.5356 0.0000 1.4639 0.8452 7.6681" Properties=species:S:1:pos:R:3 comment="AsPIr2, relaxed, DFT PBEsol" total_magnetization_mub_per_atom=0.000 formation_energy_mev_per_atom=-52 pbc="T T T"
As 0.0000 0.0000 0.0000
Ir 1.4639 0.8452 2.0953
Ir 4.3918 2.5356 5.5727
P 2.9279 1.6904 3.8340